# 1
Material: LaAl2Br
Method: DFT, PBE
State: relaxed

Cell and atoms, written as CIF:
```
data_LaAl2Br
_chemical_formula_sum 'La1 Al2 Br1'
_space_group_name_H-M_alt 'P 4 m m'
_space_group_IT_number 99
_space_group_name_Hall 'P 4 -2'
_cell_length_a 3.596
_cell_length_b 3.596
_cell_length_c 8.770
_cell_angle_alpha 90.00
_cell_angle_beta 90.00
_cell_angle_gamma 90.00
loop_
_atom_site_label
_atom_site_type_symbol
_atom_site_fract_x
_atom_site_fract_y
_atom_site_fract_z
La1 La 0.000 0.000 0.000
Al1 Al 0.000 0.000 0.378
Al2 Al 0.500 0.500 0.256
Br1 Br 0.500 0.500 0.790
```

- E above lowest polymorph (eV/f.u.) = 0.585

---

# 2
Material: CeCdRu
Method: DFT, PBE
State: relaxed

Cell and atoms, written as CIF:
```
data_CeCdRu
_chemical_formula_sum 'Ce2 Cd2 Ru2'
_space_group_name_H-M_alt 'P 1 21/m 1'
_space_group_IT_number 11
_space_group_name_Hall '-P 2yb'
_cell_length_a 5.118
_cell_length_b 4.935
_cell_length_c 5.535
_cell_angle_alpha 90.00
_cell_angle_beta 97.33
_cell_angle_gamma 90.00
loop_
_atom_site_label
_atom_site_type_symbol
_atom_site_fract_x
_atom_site_fract_y
_atom_site_fract_z
Ce1 Ce 0.101 0.250 0.316
Cd1 Cd 0.499 0.750 0.141
Ru1 Ru 0.333 0.750 0.613
```

- energy of formation (meV/atom) = -310.8
- E above lowest polymorph (eV/f.u.) = 0.062

---

# 3
Material: Tl2Ni
Method: DFT, PBE
State: relaxed

Cell and atoms, written as CIF:
```
data_Tl2Ni
_chemical_formula_sum 'Tl4 Ni2'
_space_group_name_H-M_alt 'P 63/m m c'
_space_group_IT_number 194
_space_group_name_Hall '-P 6c 2c'
_cell_length_a 4.6549
_cell_length_b 4.6549
_cell_length_c 7.3420
_cell_angle_alpha 90.00
_cell_angle_beta 90.00
_cell_angle_gamma 120.00
loop_
_atom_site_label
_atom_site_type_symbol
_atom_site_fract_x
_atom_site_fract_y
_atom_site_fract_z
Tl1 Tl 0.0000 0.0000 0.0000
Tl2 Tl 0.3333 0.6667 0.2500
Ni1 Ni 0.3333 0.6667 0.7500
```

- energy of formation (meV/atom) = 405.1

---

# 4
Material: AlFeSb2
Method: DFT, PBE
State: relaxed

Cell and atoms, written as CIF:
```
data_AlFeSb2
_chemical_formula_sum 'Al1 Fe1 Sb2'
_space_group_name_H-M_alt 'P 4/m m m'
_space_group_IT_number 123
_space_group_name_Hall '-P 4 2'
_cell_length_a 3.181
_cell_length_b 3.181
_cell_length_c 7.741
_cell_angle_alpha 90.00
_cell_angle_beta 90.00
_cell_angle_gamma 90.00
loop_
_atom_site_label
_atom_site_type_symbol
_atom_site_fract_x
_atom_site_fract_y
_atom_site_fract_z
Al1 Al 0.000 0.000 0.000
Fe1 Fe 0.000 0.000 0.500
Sb1 Sb 0.500 0.500 0.295
```

- uncorrected energy (eV/atom) = -4.87

---

# 5
Material: LaTmTh4
Method: DFT, PBE
State: relaxed

Cell and atoms, written as CIF:
```
data_LaTmTh4
_chemical_formula_sum 'La1 Tm1 Th4'
_space_group_name_H-M_alt 'P 4/m m m'
_space_group_IT_number 123
_space_group_name_Hall '-P 4 2'
_cell_length_a 3.588
_cell_length_b 3.588
_cell_length_c 15.147
_cell_angle_alpha 90.00
_cell_angle_beta 90.00
_cell_angle_gamma 90.00
loop_
_atom_site_label
_atom_site_type_symbol
_atom_site_fract_x
_atom_site_fract_y
_atom_site_fract_z
La1 La 0.000 0.000 0.000
Tm1 Tm 0.500 0.500 0.500
Th1 Th 0.000 0.000 0.336
Th2 Th 0.500 0.500 0.174
```

- energy of formation (meV/atom) = 37.9

---

# 6
Material: Ac5Nd3Se8
Method: DFT, PBE
State: relaxed

Cell and atoms, written as CIF:
```
data_Ac5Nd3Se8
_chemical_formula_sum 'Ac15 Nd9 Se24'
_space_group_name_H-M_alt 'R -3 m'
_space_group_IT_number 166
_space_group_name_Hall '-R 3 2"'
_cell_length_a 8.7578
_cell_length_b 8.7578
_cell_length_c 21.4651
_cell_angle_alpha 90.00
_cell_angle_beta 90.00
_cell_angle_gamma 120.00
loop_
_atom_site_label
_atom_site_type_symbol
_atom_site_fract_x
_atom_site_fract_y
_atom_site_fract_z
Ac1 Ac 0.0000 0.0000 0.0000
Ac2 Ac 0.0000 0.0000 0.5000
Ac3 Ac 0.0000 0.5000 0.0000
Nd1 Nd 0.0000 0.5000 0.5000
Se1 Se 0.0000 0.0000 0.2452
Se2 Se 0.0067 0.5034 0.7534
```

- uncorrected energy (eV/atom) = -5.77

---

# 7
Material: Tb3TlSe4
Method: DFT, PBE
State: relaxed

Cell and atoms, written as CIF:
```
data_Tb3TlSe4
_chemical_formula_sum 'Tb6 Tl2 Se8'
_space_group_name_H-M_alt 'P 63/m m c'
_space_group_IT_number 194
_space_group_name_Hall '-P 6c 2c'
_cell_length_a 4.1367
_cell_length_b 4.1367
_cell_length_c 29.0544
_cell_angle_alpha 90.00
_cell_angle_beta 90.00
_cell_angle_gamma 120.00
loop_
_atom_site_label
_atom_site_type_symbol
_atom_site_fract_x
_atom_site_fract_y
_atom_site_fract_z
Tb1 Tb 0.0000 0.0000 0.0000
Tb2 Tb 0.3333 0.6667 0.1143
Tl1 Tl 0.3333 0.6667 0.7500
Se1 Se 0.0000 0.0000 0.1698
Se2 Se 0.3333 0.6667 0.5572
```

- uncorrected energy (eV/atom) = -5.35

---

# 8
Material: La2Dy12Tm5
Method: DFT, PBE
State: relaxed

Cell and atoms, written as CIF:
```
data_La2Dy12Tm5
_chemical_formula_sum 'La2 Dy12 Tm5'
_space_group_name_H-M_alt 'P -1'
_space_group_IT_number 2
_space_group_name_Hall '-P 1'
_cell_length_a 6.084
_cell_length_b 8.866
_cell_length_c 11.660
_cell_angle_alpha 91.53
_cell_angle_beta 103.75
_cell_angle_gamma 95.60
loop_
_atom_site_label
_atom_site_type_symbol
_atom_site_fract_x
_atom_site_fract_y
_atom_site_fract_z
La1 La 0.166 0.344 0.027
Dy1 Dy 0.010 0.234 0.707
Dy2 Dy 0.099 0.872 0.609
Dy3 Dy 0.243 0.605 0.813
Dy4 Dy 0.349 0.073 0.235
Dy5 Dy 0.361 0.450 0.341
Dy6 Dy 0.418 0.715 0.135
Tm1 Tm 0.000 0.500 0.500
Tm2 Tm 0.219 0.974 0.921
Tm3 Tm 0.453 0.179 0.549
```

- energy of formation (meV/atom) = 66.1
- E above lowest polymorph (eV/f.u.) = 0.000